# TbHoGe

A geometry-optimized TbHoGe structure (PBE, Alexandria via LeMat-Bulk).

```
data_TbHoGe
_cell_length_a 3.453
_cell_length_b 3.453
_cell_length_c 7.016
_cell_angle_alpha 104.24
_cell_angle_beta 104.24
_cell_angle_gamma 90.00
_symmetry_space_group_name_H-M 'P 1'
_symmetry_Int_Tables_number 1
_symmetry_space_group_name_Hall 'P 1'
loop_
_atom_site_label
_atom_site_type_symbol
_atom_site_fract_x
_atom_site_fract_y
_atom_site_fract_z
Tb1 Tb 0.925 0.925 0.850
Ge1 Ge 0.282 0.282 0.565
Ho1 Ho 0.643 0.643 0.286
```

Output
As for the density of states at the Fermi level: 2.81 states/eV/f.u. The value obtained for the distance to the lowest polymorph of the same formula is 0.183 eV per atom. The formation enthalpy at 0 K is -0.44 eV per atom. For the electronic total energy, the calculation gives -5.0474 eV per atom.